# 1
The following is a SCAN calculation of a crystal of InHBr3 relaxed with PBEsol, from Alexandria via LeMat-Bulk.

The raw total energy is -19.113 eV per atom. The magnetization is 1.0 Bohr magnetons per cell.

Lattice parameters (Å, degrees): 5.346 5.346 5.346 90.00 90.00 90.00
Fractional coordinates of all 5 atoms:
In  0.000  0.000  0.000
H  0.500  0.500  0.500
Br  0.000  0.000  0.500
Br  0.000  0.500  0.000
Br  0.500  0.000  0.000

# 2
The following is a SCAN calculation of a crystal of In2HBr2 relaxed with PBEsol, from Alexandria via LeMat-Bulk.

The raw total energy is -21.766 eV per atom. The magnetization is 1.0 Bohr magnetons per cell.

Lattice parameters (Å, degrees): 6.426 6.426 6.426 122.83 122.83 85.17
Fractional coordinates of all 5 atoms:
In  0.250  0.750  0.500
In  0.750  0.250  0.500
H  0.000  0.000  0.000
Br  0.298  0.298  0.000
Br  0.702  0.702  0.000

# 3
The following is a SCAN calculation of a crystal of HIrBr2 relaxed with PBEsol, from Alexandria via LeMat-Bulk.

The raw total energy is -27.501 eV per atom. The magnetization is 0.0 Bohr magnetons per cell.

Lattice parameters (Å, degrees): 6.271 6.271 6.271 129.67 129.67 73.93
Fractional coordinates of all 8 atoms:
H  0.000  0.000  0.000
H  0.750  0.250  0.500
Ir  0.250  0.750  0.500
Ir  0.500  0.500  0.000
Br  0.078  0.625  0.953
Br  0.375  0.328  0.453
Br  0.672  0.125  0.047
Br  0.875  0.922  0.547

# 4
The following is a SCAN calculation of a crystal of LiH2IrBr relaxed with PBEsol, from Alexandria via LeMat-Bulk.

The raw total energy is -19.883 eV per atom. The magnetization is 1.1 Bohr magnetons per cell.

Lattice parameters (Å, degrees): 3.419 3.419 5.877 90.00 90.00 90.00
Fractional coordinates of all 5 atoms:
Li  0.000  0.000  0.000
H  0.000  0.500  0.500
H  0.500  0.000  0.500
Ir  0.000  0.000  0.500
Br  0.500  0.500  0.000

# 5
The following is a SCAN calculation of a crystal of KHBr2 relaxed with PBEsol, from Alexandria via LeMat-Bulk.

The raw total energy is -13.747 eV per atom. The magnetization is 0.0 Bohr magnetons per cell.

Lattice parameters (Å, degrees): 6.944 6.944 6.944 43.02 43.02 43.02
Fractional coordinates of all 4 atoms:
K  0.000  0.000  0.000
H  0.500  0.500  0.500
Br  0.410  0.410  0.410
Br  0.590  0.590  0.590

# 6
The following is a SCAN calculation of a crystal of K2HBrO relaxed with PBEsol, from Alexandria via LeMat-Bulk.

The raw total energy is -10.814 eV per atom. The magnetization is 0.2 Bohr magnetons per cell.

Lattice parameters (Å, degrees): 6.660 4.188 8.451 90.00 108.39 90.00
Fractional coordinates of all 10 atoms:
K  0.204  0.250  0.382
K  0.210  0.250  0.965
K  0.790  0.750  0.035
K  0.796  0.750  0.618
H  0.344  0.750  0.213
H  0.656  0.250  0.787
Br  0.325  0.750  0.701
Br  0.675  0.250  0.299
O  0.189  0.750  0.173
O  0.811  0.250  0.827

# 7
The following is a SCAN calculation of a crystal of KZnH4Br3O2 relaxed with PBEsol, from Alexandria via LeMat-Bulk.

The raw total energy is -10.892 eV per atom. The magnetization is 0.0 Bohr magnetons per cell.

Lattice parameters (Å, degrees): 6.674 11.910 11.201 90.00 117.46 90.00
Fractional coordinates of all 44 atoms:
K  0.230  0.170  0.492
K  0.230  0.330  0.992
K  0.770  0.670  0.008
K  0.770  0.830  0.508
Zn  0.484  0.576  0.261
Zn  0.484  0.924  0.761
Zn  0.516  0.076  0.239
Zn  0.516  0.424  0.739
H  0.046  0.154  0.774
H  0.046  0.346  0.274
H  0.115  0.611  0.669
H  0.115  0.889  0.169
H  0.258  0.744  0.297
H  0.258  0.756  0.797
H  0.368  0.663  0.431
H  0.368  0.837  0.931
H  0.632  0.163  0.069
H  0.632  0.337  0.569
H  0.742  0.244  0.203
H  0.742  0.256  0.703
H  0.885  0.111  0.831
H  0.885  0.389  0.331
H  0.954  0.654  0.726
H  0.954  0.846  0.226
Br  0.122  0.100  0.164
Br  0.122  0.400  0.664
Br  0.267  0.603  0.026
Br  0.267  0.897  0.526
Br  0.424  0.108  0.826
Br  0.424  0.392  0.326
Br  0.576  0.608  0.674
Br  0.576  0.892  0.174
Br  0.733  0.103  0.474
Br  0.733  0.397  0.974
Br  0.878  0.600  0.336
Br  0.878  0.900  0.836
O  0.065  0.681  0.696
O  0.065  0.819  0.196
O  0.392  0.692  0.356
O  0.392  0.808  0.856
O  0.608  0.192  0.144
O  0.608  0.308  0.644
O  0.935  0.181  0.804
O  0.935  0.319  0.304

# 8
The following is a SCAN calculation of a crystal of KHSeBr2 relaxed with PBEsol, from Alexandria via LeMat-Bulk.

The raw total energy is -13.689 eV per atom. The magnetization is 4.0 Bohr magnetons per cell.

Lattice parameters (Å, degrees): 6.128 6.128 6.442 90.00 90.00 90.00
Fractional coordinates of all 5 atoms:
K  0.000  0.000  0.000
H  0.500  0.500  0.500
Se  0.000  0.000  0.500
Br  0.000  0.500  0.000
Br  0.500  0.000  0.000

# 9
The following is a SCAN calculation of a crystal of La3HBr relaxed with PBEsol, from Alexandria via LeMat-Bulk.

The raw total energy is -30.178 eV per atom. The magnetization is 0.0 Bohr magnetons per cell.

Lattice parameters (Å, degrees): 5.570 5.570 5.570 90.00 90.00 90.00
Fractional coordinates of all 5 atoms:
La  0.000  0.000  0.500
La  0.000  0.500  0.000
La  0.500  0.000  0.000
H  0.500  0.500  0.500
Br  0.000  0.000  0.000

# 10
The following is a SCAN calculation of a crystal of LaHBr2 relaxed with PBEsol, from Alexandria via LeMat-Bulk.

The raw total energy is -23.176 eV per atom. The magnetization is 0.0 Bohr magnetons per cell.

Lattice parameters (Å, degrees): 4.058 4.058 14.127 90.00 90.00 120.00
Fractional coordinates of all 8 atoms:
La  0.000  0.000  0.250
La  0.000  0.000  0.750
H  0.333  0.667  0.250
H  0.667  0.333  0.750
Br  0.333  0.667  0.614
Br  0.333  0.667  0.886
Br  0.667  0.333  0.114
Br  0.667  0.333  0.386

# 11
The following is a SCAN calculation of a crystal of LaHSeBr2 relaxed with PBEsol, from Alexandria via LeMat-Bulk.

The raw total energy is -21.853 eV per atom. The magnetization is 2.0 Bohr magnetons per cell.

Lattice parameters (Å, degrees): 5.811 5.811 5.841 90.00 90.00 90.00
Fractional coordinates of all 5 atoms:
La  0.000  0.000  0.000
H  0.500  0.500  0.500
Se  0.000  0.000  0.500
Br  0.000  0.500  0.000
Br  0.500  0.000  0.000

# 12
The following is a SCAN calculation of a crystal of LiHBr3 relaxed with PBEsol, from Alexandria via LeMat-Bulk.

The raw total energy is -12.815 eV per atom. The magnetization is 0.9 Bohr magnetons per cell.

Lattice parameters (Å, degrees): 4.703 4.703 4.703 90.00 90.00 90.00
Fractional coordinates of all 5 atoms:
Li  0.000  0.000  0.000
H  0.500  0.500  0.500
Br  0.000  0.500  0.500
Br  0.500  0.000  0.500
Br  0.500  0.500  0.000

# 13
The following is a SCAN calculation of a crystal of LiHBr2 relaxed with PBEsol, from Alexandria via LeMat-Bulk.

The calculation puts the energy above the most stable polymorph in this dataset at 324.0 meV/atom. The magnetization is 0.0 Bohr magnetons per cell.

Lattice parameters (Å, degrees): 6.324 6.324 6.324 128.30 128.30 76.14
Fractional coordinates of all 8 atoms:
Li  0.000  0.000  0.000
Li  0.750  0.250  0.500
H  0.250  0.750  0.500
H  0.500  0.500  0.000
Br  0.182  0.625  0.057
Br  0.375  0.432  0.557
Br  0.568  0.125  0.943
Br  0.875  0.818  0.443

# 14
The following is a SCAN calculation of a crystal of Li2HBr relaxed with PBEsol, from Alexandria via LeMat-Bulk.

The raw total energy is -7.931 eV per atom. The magnetization is 0.0 Bohr magnetons per cell.

Lattice parameters (Å, degrees): 6.136 6.136 6.136 130.87 130.87 72.02
Fractional coordinates of all 8 atoms:
Li  0.027  0.625  0.902
Li  0.375  0.277  0.402
Li  0.723  0.125  0.098
Li  0.875  0.973  0.598
H  0.000  0.000  0.000
H  0.750  0.250  0.500
Br  0.250  0.750  0.500
Br  0.500  0.500  0.000

# 15
The following is a SCAN calculation of a crystal of LiHBr2 relaxed with PBEsol, from Alexandria via LeMat-Bulk.

The calculation puts the energy above the most stable polymorph in this dataset at 0.0 meV/atom. The magnetization is 0.0 Bohr magnetons per cell.

Lattice parameters (Å, degrees): 6.607 6.607 6.607 35.59 35.59 35.59
Fractional coordinates of all 4 atoms:
Li  0.000  0.000  0.000
H  0.500  0.500  0.500
Br  0.408  0.408  0.408
Br  0.592  0.592  0.592

# 16
The following is a SCAN calculation of a crystal of LiMg2HBr relaxed with PBEsol, from Alexandria via LeMat-Bulk.

The raw total energy is -7.319 eV per atom. The magnetization is 0.0 Bohr magnetons per cell.

Lattice parameters (Å, degrees): 4.061 4.061 5.924 90.00 90.00 90.00
Fractional coordinates of all 5 atoms:
Li  0.000  0.000  0.000
Mg  0.000  0.500  0.500
Mg  0.500  0.000  0.500
H  0.500  0.500  0.500
Br  0.500  0.500  0.000

# 17
The following is a SCAN calculation of a crystal of LiH6BrO7 relaxed with PBEsol, from Alexandria via LeMat-Bulk.

The raw total energy is -6.549 eV per atom. The magnetization is 0.0 Bohr magnetons per cell.

Lattice parameters (Å, degrees): 7.686 7.686 5.504 90.00 90.00 120.00
Fractional coordinates of all 30 atoms:
Li  0.000  0.000  0.000
Li  0.000  0.000  0.500
H  0.063  0.330  0.255
H  0.063  0.733  0.255
H  0.267  0.330  0.255
H  0.267  0.937  0.255
H  0.330  0.063  0.755
H  0.330  0.267  0.755
H  0.670  0.733  0.255
H  0.670  0.937  0.255
H  0.733  0.063  0.755
H  0.733  0.670  0.755
H  0.937  0.267  0.755
H  0.937  0.670  0.755
Br  0.333  0.667  0.697
Br  0.667  0.333  0.197
O  0.101  0.551  0.800
O  0.121  0.241  0.250
O  0.121  0.879  0.250
O  0.241  0.121  0.750
O  0.333  0.667  0.400
O  0.449  0.551  0.800
O  0.449  0.899  0.800
O  0.551  0.101  0.300
O  0.551  0.449  0.300
O  0.667  0.333  0.900
O  0.759  0.879  0.250
O  0.879  0.121  0.750
O  0.879  0.759  0.750
O  0.899  0.449  0.300

# 18
The following is a SCAN calculation of a crystal of Li4H3BrO3 relaxed with PBEsol, from Alexandria via LeMat-Bulk.

The raw total energy is -6.969 eV per atom. The magnetization is 0.0 Bohr magnetons per cell.

Lattice parameters (Å, degrees): 5.347 7.445 6.408 90.00 92.31 90.00
Fractional coordinates of all 22 atoms:
Li  0.070  0.250  0.421
Li  0.348  0.521  0.637
Li  0.348  0.979  0.637
Li  0.402  0.250  0.184
Li  0.598  0.750  0.816
Li  0.652  0.021  0.363
Li  0.652  0.479  0.363
Li  0.930  0.750  0.579
H  0.156  0.750  0.873
H  0.190  0.535  0.271
H  0.190  0.965  0.271
H  0.810  0.035  0.729
H  0.810  0.465  0.729
H  0.844  0.250  0.127
Br  0.147  0.250  0.836
Br  0.853  0.750  0.164
O  0.244  0.750  0.742
O  0.290  0.053  0.352
O  0.290  0.447  0.352
O  0.710  0.553  0.648
O  0.710  0.947  0.648
O  0.756  0.250  0.258

# 19
The following is a SCAN calculation of a crystal of LiH2RuBr relaxed with PBEsol, from Alexandria via LeMat-Bulk.

The raw total energy is -11.820 eV per atom. The magnetization is 2.2 Bohr magnetons per cell.

Lattice parameters (Å, degrees): 3.504 3.504 5.370 90.00 90.00 90.00
Fractional coordinates of all 5 atoms:
Li  0.000  0.000  0.000
H  0.000  0.500  0.000
H  0.500  0.000  0.000
Ru  0.000  0.000  0.500
Br  0.500  0.500  0.500

# 20
The following is a SCAN calculation of a crystal of LiHSe2Br relaxed with PBEsol, from Alexandria via LeMat-Bulk.

The raw total energy is -13.345 eV per atom. The magnetization is 0.0 Bohr magnetons per cell.

Lattice parameters (Å, degrees): 3.844 3.844 7.385 90.00 90.00 90.00
Fractional coordinates of all 5 atoms:
Li  0.000  0.000  0.000
H  0.500  0.500  0.500
Se  0.000  0.500  0.500
Se  0.500  0.000  0.500
Br  0.500  0.500  0.000